6
Lattice="8.6207 -0.0005 0.0000 6.4349 5.7365 0.0000 -7.5278 -2.8680 3.0696" Properties=species:S:1:pos:R:3 comment="PBE-GGA PrScGe, relaxed" e_form_ev_per_atom=-0.7148 de_polymorph_mev_per_atom=0.0 spacegroup=I4/mmm density_g_cm3=5.66 dos_ef_per_ev_atom=0.849 magnetic_moment_mub_per_cell=1.58 pbc="T T T"
Pr 10.1830 3.8796 0.0000
Pr 4.8726 1.8564 0.0000
Sc 0.5464 -1.4342 1.5348
Sc -0.5464 1.4342 1.5348
Ge 1.8302 0.6973 0.0000
Ge 13.2254 5.0387 0.0000

=====

20
Lattice="3.7672 0.0000 0.0000 0.0000 8.8991 0.0000 0.0000 0.0000 14.6479" Properties=species:S:1:pos:R:3 comment="PBE-GGA Pm3AuC, relaxed" e_form_ev_per_atom=-0.3967 de_polymorph_mev_per_atom=0.0 spacegroup=Pnma density_g_cm3=8.71 dos_ef_per_ev_atom=1.046 magnetic_moment_mub_per_cell=0.00 pbc="T T T"
Pm 2.8254 1.7307 4.5113
Pm 0.9418 6.0228 14.3021
Pm 0.9418 0.1048 1.4981
Pm 0.9418 4.5543 5.8259
Pm 0.9418 1.5733 7.6697
Pm 2.8254 4.3448 8.8220
Pm 0.9418 2.7188 11.8352
Pm 2.8254 8.7943 13.1498
Pm 2.8254 2.8763 0.3458
Pm 2.8254 6.1803 2.8127
Pm 2.8254 7.3258 6.9781
Pm 0.9418 7.1683 10.1366
Au 0.9418 8.0499 4.6271
Au 2.8254 0.8492 10.0207
Au 2.8254 5.2988 11.9510
Au 0.9418 3.6003 2.6968
C 0.9418 5.8761 8.0321
C 2.8254 3.0230 6.6157
C 2.8254 7.4725 0.7082
C 0.9418 1.4265 13.9397

=====

10
Lattice="-4.3288 0.2362 0.8800 -4.6771 -2.0230 -4.2702 -3.4340 -5.0366 2.6536" Properties=species:S:1:pos:R:3 comment="PBE-GGA ReNi7Ir2, relaxed" e_form_ev_per_atom=0.3297 spacegroup=C2/m density_g_cm3=11.87 dos_ef_per_ev_atom=1.829 magnetic_moment_mub_per_cell=2.12 pbc="T T T"
Re 0.0000 0.0000 0.0000
Ni -8.5831 -2.8119 -1.0350
Ni -3.8569 -4.0115 0.2984
Ni -5.0425 -2.1054 1.3785
Ni -7.3975 -4.7180 -2.1151
Ni -5.4509 -1.1152 -0.8964
Ni -6.9891 -5.7081 0.1598
Ni -6.2200 -3.4117 -0.3683
Ir -6.6282 -2.4220 -2.6421
Ir -5.8117 -4.4014 1.9055

=====

18
Lattice="-5.8556 -0.4489 4.5255 -6.3006 -3.0425 -2.3808 5.9757 -11.2063 2.4605" Properties=species:S:1:pos:R:3 comment="PBE-GGA Tl12S5I, relaxed" spacegroup=C2/m density_g_cm3=7.57 dft_energy_ev_per_cell=-56.33 dos_ef_per_ev_atom=0.232 magnetic_moment_mub_per_cell=0.00 pbc="T T T"
Tl -2.4285 -4.5246 4.5098
Tl 2.5486 -7.1307 2.4763
Tl 1.7797 -9.8204 4.6671
Tl -7.9603 -4.8774 -0.0619
Tl -0.7407 -11.5885 2.1434
Tl -3.2979 -3.5415 -0.8828
Tl -2.8827 -11.1562 5.4881
Tl -5.4398 -3.1093 2.4619
Tl -1.5260 -8.2972 3.2530
Tl -5.6117 -9.4890 3.9217
Tl -0.5689 -5.2088 0.6835
Tl -4.6545 -6.4006 1.3522
S 0.0601 -5.8276 3.4930
S -2.1703 -7.6911 0.4225
S -4.0104 -7.0067 4.1827
S -8.1032 -2.3267 1.4313
S -4.0532 -1.1647 0.7134
I 0.0000 0.0000 0.0000

=====

14
Lattice="-4.8898 -2.3611 1.6841 -4.7680 -2.7573 -8.1142 2.2820 -8.5385 4.2501" Properties=species:S:1:pos:R:3 comment="PBE-GGA La3Pr3Tm8, relaxed" e_form_ev_per_atom=0.1054 spacegroup=Immm density_g_cm3=7.72 dos_ef_per_ev_atom=1.572 magnetic_moment_mub_per_cell=0.00 pbc="T T T"
La -2.4449 -1.1806 0.8420
La -3.4289 -3.8554 -5.7658
La 0.9429 -7.4404 1.9017
Pr -3.6879 -6.8285 -1.0900
Pr -4.4181 -4.1147 0.5952
Pr -2.9577 -9.5423 -2.7752
Tm -2.5286 -6.6508 2.5255
Tm -4.8472 -7.0062 -4.7056
Tm -5.6263 -4.1105 -2.9074
Tm -1.7494 -9.5465 0.7274
Tm -6.4699 -8.8418 -2.3949
Tm -0.9058 -4.8152 0.2149
Tm -5.0296 -10.0230 0.1312
Tm -2.3462 -3.6340 -2.3112

=====

4
Lattice="2.6971 0.0000 0.0000 0.0000 2.6971 0.0000 0.0000 0.0000 8.1778" Properties=species:S:1:pos:R:3 comment="PBE-GGA ZnRe2Pt, relaxed" e_form_ev_per_atom=0.2089 spacegroup=P4/mmm density_g_cm3=17.67 dos_ef_per_ev_atom=0.886 magnetic_moment_mub_per_cell=0.00 pbc="T T T"
Pt 1.3486 1.3486 6.1334
Re 0.0000 0.0000 0.0113
Re 0.0000 0.0000 4.0776
Zn 1.3486 1.3486 2.0445

=====

4
Lattice="-0.0088 -3.0991 3.6480 4.2224 -2.2470 -0.1863 -0.9578 4.6898 -0.0147" Properties=species:S:1:pos:R:3 comment="PBE-GGA Mn2TlSi, relaxed" spacegroup=I4/mmm density_g_cm3=8.93 dft_energy_ev_per_cell=-24.38 dos_ef_per_ev_atom=0.792 magnetic_moment_mub_per_cell=6.13 pbc="T T T"
Mn 0.0000 0.0000 0.0000
Mn 2.1068 -2.6730 1.7309
Si 2.6857 -0.1151 0.7649
Tl 0.5701 -0.5411 2.6820

=====

4
Lattice="4.5278 0.0000 0.0000 2.2639 3.9212 0.0000 2.2639 1.3071 3.6969" Properties=species:S:1:pos:R:3 comment="PBE-GGA HfMgTcIr, relaxed" e_form_ev_per_atom=-0.3794 spacegroup=F-43m density_g_cm3=12.47 dos_ef_per_ev_atom=1.019 magnetic_moment_mub_per_cell=0.00 pbc="T T T"
Mg 0.0000 0.0000 0.0000
Ir 6.7917 3.9212 2.7727
Hf 4.5278 2.6141 1.8485
Tc 2.2639 1.3071 0.9242

=====

8
Lattice="6.9133 -0.1270 -0.1946 -3.0606 6.2002 0.1946 -3.0606 -2.3170 5.7543" Properties=species:S:1:pos:R:3 comment="PBE-GGA K2PuVS4, relaxed" spacegroup=I-4 density_g_cm3=3.43 dft_energy_ev_per_cell=-51.13 dos_ef_per_ev_atom=1.871 magnetic_moment_mub_per_cell=7.00 pbc="T T T"
K 0.3960 4.0074 1.4872
K 0.0000 0.0000 0.0000
Pu 0.3960 -0.2512 4.2671
V -3.0606 1.9416 2.9744
S 1.6281 1.3693 2.5535
S -2.1381 -0.0829 3.4732
S 4.3977 2.9080 0.8549
S -2.3036 3.3179 4.6270

=====

4
Lattice="5.5079 0.0021 -0.0012 2.5360 4.8894 0.0012 -3.5901 -3.1559 2.7365" Properties=species:S:1:pos:R:3 comment="PBE-GGA Mo2PbAu, relaxed" e_form_ev_per_atom=0.6092 spacegroup=Immm density_g_cm3=13.43 dos_ef_per_ev_atom=0.896 magnetic_moment_mub_per_cell=0.00 pbc="T T T"
Au 2.9699 -0.3540 1.3677
Mo 0.0190 0.0115 0.0000
Mo 4.0030 2.4342 0.0000
Pb 1.4839 2.0896 1.3689